No. 1
{"formula": "Ce3Sn4Pd2", "functional": "GGA-PBE", "state": "optimized geometry", "lattice": [[4.7504, 0.0000, 0.0000], [-2.3752, 5.6447, -0.2121], [0.0000, -2.5832, 8.5738]], "species": ["Ce", "Sn", "Sn", "Pd", "Sn", "Sn", "Pd", "Ce", "Ce"], "frac_coords": [[0.3632, 0.7264, 0.3175], [0.2933, 0.5867, 0.9320], [0.0801, 0.1603, 0.3940], [0.3192, 0.6385, 0.6429], [0.9199, 0.8397, 0.6060], [0.7067, 0.4133, 0.0680], [0.6808, 0.3615, 0.3571], [0.0000, 0.0000, 0.0000], [0.6368, 0.2736, 0.6825]], "delta_e_f_mev_per_atom": -703, "final_energy_ev_per_atom": -5.614, "m_tot_mub_per_fu": 2.28}

---

No. 2
{"formula": "Ce8SnPd24", "functional": "GGA-PBE", "state": "optimized geometry", "lattice": [[-1.4501, -8.3415, -0.6071], [4.0561, -1.2403, 7.3527], [-7.3142, 0.9660, 4.1978]], "species": ["Pd", "Pd", "Ce", "Ce", "Ce", "Ce", "Pd", "Ce", "Pd", "Pd", "Pd", "Pd", "Pd", "Ce", "Pd", "Pd", "Pd", "Pd", "Pd", "Pd", "Pd", "Pd", "Ce", "Pd", "Pd", "Ce", "Pd", "Pd", "Pd", "Pd", "Pd", "Sn", "Pd"], "frac_coords": [[0.0000, 0.3175, 0.0000], [0.0000, 0.5000, 0.7314], [0.7527, 0.2473, 0.2473], [0.2473, 0.2473, 0.2473], [0.7527, 0.2473, 0.7527], [0.2473, 0.7527, 0.2473], [0.2686, 0.5000, 0.0000], [0.7527, 0.7527, 0.7527], [0.2686, 0.0000, 0.5000], [0.0000, 0.2686, 0.5000], [0.5000, 0.5000, 0.7441], [0.5000, 0.7314, 0.0000], [0.5000, 0.0000, 0.7314], [0.2473, 0.2473, 0.7527], [0.5000, 0.7441, 0.5000], [0.3175, 0.0000, 0.0000], [0.7314, 0.5000, 0.0000], [0.0000, 0.0000, 0.6825], [0.0000, 0.7314, 0.5000], [0.0000, 0.6825, 0.0000], [0.0000, 0.5000, 0.2686], [0.2559, 0.5000, 0.5000], [0.7527, 0.7527, 0.2473], [0.7314, 0.0000, 0.5000], [0.5000, 0.2559, 0.5000], [0.2473, 0.7527, 0.7527], [0.5000, 0.2686, 0.0000], [0.6825, 0.0000, 0.0000], [0.5000, 0.5000, 0.2559], [0.7441, 0.5000, 0.5000], [0.5000, 0.0000, 0.2686], [0.0000, 0.0000, 0.0000], [0.0000, 0.0000, 0.3175]], "delta_e_f_mev_per_atom": -786, "final_energy_ev_per_atom": -6.122, "m_tot_mub_per_fu": 5.11}

---

No. 3
{"formula": "Ce4SnPd15", "functional": "GGA-PBE", "state": "optimized geometry", "lattice": [[-3.2368, 2.5924, 0.0422], [-0.1196, -0.2168, 4.1398], [12.8480, 16.0216, 1.2102]], "species": ["Pd", "Ce", "Pd", "Ce", "Pd", "Pd", "Pd", "Pd", "Pd", "Ce", "Pd", "Pd", "Ce", "Pd", "Pd", "Pd", "Pd", "Sn", "Pd", "Pd"], "frac_coords": [[0.5000, 0.5000, 0.6012], [0.0000, 0.0000, 0.3984], [0.5000, 0.5000, 0.1958], [0.0000, 0.0000, 0.8047], [0.5000, 0.0000, 0.7028], [0.5000, 0.0000, 0.0961], [0.5000, 0.0000, 0.2972], [0.0000, 0.5000, 0.9039], [0.0000, 0.5000, 0.0961], [0.0000, 0.0000, 0.1953], [0.0000, 0.5000, 0.5000], [0.0000, 0.5000, 0.2972], [0.0000, 0.0000, 0.6016], [0.5000, 0.5000, 0.8042], [0.0000, 0.5000, 0.7028], [0.5000, 0.5000, 0.0000], [0.5000, 0.5000, 0.3988], [0.0000, 0.0000, 0.0000], [0.5000, 0.0000, 0.9039], [0.5000, 0.0000, 0.5000]], "delta_e_f_mev_per_atom": -753, "final_energy_ev_per_atom": -6.034, "m_tot_mub_per_fu": 1.46}

---

No. 4
{"formula": "CeSn4Pd15", "functional": "GGA-PBE", "state": "optimized geometry", "lattice": [[-1.7635, -0.5075, 3.6292], [3.2774, -2.0200, 1.3101], [8.1729, 17.4155, 6.4067]], "species": ["Pd", "Pd", "Pd", "Ce", "Pd", "Pd", "Sn", "Pd", "Pd", "Pd", "Sn", "Pd", "Pd", "Pd", "Sn", "Pd", "Sn", "Pd", "Pd", "Pd"], "frac_coords": [[0.5000, 0.0000, 0.5000], [0.0000, 0.5000, 0.3020], [0.5000, 0.0000, 0.8969], [0.0000, 0.0000, 0.0000], [0.5000, 0.5000, 0.7971], [0.5000, 0.5000, 0.2029], [0.0000, 0.0000, 0.7955], [0.0000, 0.5000, 0.8969], [0.5000, 0.0000, 0.1031], [0.5000, 0.0000, 0.6980], [0.0000, 0.0000, 0.2045], [0.5000, 0.5000, 0.5992], [0.0000, 0.5000, 0.1031], [0.5000, 0.5000, 0.4008], [0.0000, 0.0000, 0.5984], [0.5000, 0.0000, 0.3020], [0.0000, 0.0000, 0.4016], [0.0000, 0.5000, 0.5000], [0.0000, 0.5000, 0.6980], [0.5000, 0.5000, 0.0000]], "delta_e_f_mev_per_atom": -569, "final_energy_ev_per_atom": -5.561, "m_tot_mub_per_fu": 0.14}

---

No. 5
{"formula": "CeSnPd5", "functional": "GGA-PBE", "state": "optimized geometry", "lattice": [[7.2235, 0.0000, 0.0000], [0.0000, 7.1607, 0.0000], [-3.6118, -3.5803, 2.7338]], "species": ["Pd", "Sn", "Pd", "Pd", "Pd", "Pd", "Ce"], "frac_coords": [[0.2206, 0.8145, 0.0000], [0.5448, 0.0000, 0.0000], [0.1373, 0.2435, 0.4871], [0.6503, 0.7565, 0.5129], [0.0507, 0.5000, 0.0000], [0.2206, 0.1855, 0.0000], [0.7064, 0.5000, 0.0000]], "delta_e_f_mev_per_atom": -347, "final_energy_ev_per_atom": -5.476, "m_tot_mub_per_fu": 0.20}

---

No. 6
{"formula": "Ce2SnPd", "functional": "GGA-PBE", "state": "optimized geometry", "lattice": [[3.4275, 0.0000, 0.0000], [0.0000, 3.4275, 0.0000], [0.0000, 0.0000, 8.4558]], "species": ["Pd", "Ce", "Ce", "Sn"], "frac_coords": [[0.5000, 0.5000, 0.0000], [0.0000, 0.0000, 0.2246], [0.0000, 0.0000, 0.7754], [0.5000, 0.5000, 0.5000]], "delta_e_f_mev_per_atom": -602, "final_energy_ev_per_atom": -5.868, "m_tot_mub_per_fu": 1.72}